No. 1
Below is a relaxed structure of Sm2AlAg2, with properties calculated at the PBE-GGA level.

abc: 7.585 7.585 4.235
angles: 90.00 90.00 90.00
Space group P4/mbm (No. 127)
Symmetry-distinct sites (fractional):
Sm: 0.175 0.325 0.000 (multiplicity 4)
Al: 0.000 0.000 0.500 (multiplicity 2)
Ag: 0.131 0.631 0.500 (multiplicity 4)

## Properties
- Polymorph energy (0 for the lowest one): 0.024 eV per atom
- Total magnetization: 0.00 μB/atom
- Formation energy: -271 meV per atom

No. 2
Below is a relaxed structure of RbTe2PbI, with properties calculated at the PBE-GGA level.

abc: 5.954 5.954 6.511
angles: 90.00 90.00 90.00
Space group P4/mmm (No. 123)
Symmetry-distinct sites (fractional):
Rb: 0.000 0.000 0.000 (multiplicity 1)
Te: 0.000 0.500 0.500 (multiplicity 2)
Pb: 0.500 0.500 0.500 (multiplicity 1)
I: 0.500 0.500 0.000 (multiplicity 1)

## Properties
- Polymorph energy (0 for the lowest one): 0.000 eV per atom
- Total magnetization: 0.00 μB/atom
- Formation energy (no corrections): -0.356 eV/atom

No. 3
Below is a relaxed structure of Cs2AgGeCl6, with properties calculated at the PBE-GGA level.

abc: 7.397 7.397 10.528
angles: 90.00 90.00 90.00
Space group I4/mmm (No. 139)
Symmetry-distinct sites (fractional):
Cs: 0.000 0.500 0.250 (multiplicity 4)
Ag: 0.000 0.000 0.000 (multiplicity 2)
Ge: 0.000 0.000 0.500 (multiplicity 2)
Cl: 0.000 0.000 0.260 (multiplicity 4)
Cl: 0.242 0.242 0.500 (multiplicity 8)

## Properties
- Total magnetization: 0.00 μB/atom
- Formation energy (no corrections): -1.246 eV/atom

No. 4
Below is a relaxed structure of Ho3Tm4Al4, with properties calculated at the PBE-GGA level.

abc: 5.089 6.668 16.809
angles: 90.00 90.00 90.00
Space group Immm (No. 71)
Symmetry-distinct sites (fractional):
Ho: 0.000 0.000 0.000 (multiplicity 2)
Ho: 0.000 0.500 0.100 (multiplicity 4)
Tm: 0.000 0.264 0.320 (multiplicity 8)
Al: 0.000 0.000 0.174 (multiplicity 4)
Al: 0.000 0.205 0.500 (multiplicity 4)

## Properties
- Total magnetization: 0.00 μB/atom
- Formation energy: -183 meV per atom

Number 1: electronic total energy -4.05 eV per atom. Number 2: electronic total energy -2.86 eV per atom. Number 3: electronic total energy -3.27 eV per atom. Number 4: electronic total energy -4.42 eV per atom.